# Li2MnNiO4

A geometry-optimized Li2MnNiO4 structure (GGA+U, the Alexandria database).

POSCAR file:
```
Li2MnNiO4
1.0
-2.0301 2.0301 4.3085
2.0301 -2.0301 4.3085
2.0301 2.0301 -4.3085
Li Mn Ni O
2 1 1 4
Direct
0.0000 0.0000 0.0000
0.7500 0.2500 0.5000
0.2500 0.7500 0.5000
0.5000 0.5000 0.0000
0.0262 0.5262 0.5000
0.2617 0.2617 0.0000
0.4738 0.9738 0.5000
0.7383 0.7383 0.0000
```

- Energy relative to the lowest polymorph listed for this composition: 33.2 meV per atom
- E_tot: -46.27 eV for the cell shown
- Symmetry: I-4m2